Entry from Alexandria: Np2Si4NiIr3 after structural relaxation (PBE).

Cell lengths 4.1007, 4.1007, 9.8776 Å; angles 90.00, 90.00, 90.00 degrees
Closest atoms and distances in Å follow each position.
Fractional coordinates of all 10 atoms:
Np1 0.0000 0.5000 0.2466  6 Ir 3.12-3.24, 8 Si 3.15-3.18, 2 Ni 3.24
Np2 0.5000 0.0000 0.7534  6 Ir 3.12-3.24, 8 Si 3.15-3.18, 2 Ni 3.24
Si1 0.0000 0.0000 0.0000  4 Ir 2.42
Si2 0.0000 0.5000 0.6276  3 Ir 2.39-2.41, 2 Ni 2.41
Si3 0.5000 0.0000 0.3724  3 Ir 2.39-2.41, 2 Ni 2.41
Si4 0.5000 0.5000 0.0000  4 Ir 2.42
Ni1 0.0000 0.0000 0.5000  4 Si 2.41
Ir1 0.0000 0.5000 0.8692  5 Si 2.39-2.42
Ir2 0.5000 0.0000 0.1308  5 Si 2.39-2.42
Ir3 0.5000 0.5000 0.5000  4 Si 2.41

raw formation energy: -0.65 eV per atom
SG: P-4m2 (115)